Ge2Mo2Se, optimized geometry, DFT PBE-GGA; formation energy from raw total energies = 0.061 eV per atom; crystal system = tetragonal
1.0
7.005 0.000 0.000
0.000 7.005 0.000
0.000 0.000 3.400
Ge Mo Se
4 4 2
Cartesian
0.947 2.556 0.000 Ge
2.556 6.059 0.000 Ge
4.449 0.947 0.000 Ge
6.059 4.449 0.000 Ge
1.113 4.615 1.700 Mo
2.390 1.113 1.700 Mo
4.615 5.893 1.700 Mo
5.893 2.390 1.700 Mo
0.000 0.000 1.700 Se
3.503 3.503 1.700 Se

GeMo2Se, optimized geometry, DFT PBE-GGA; formation energy from raw total energies = 0.778 eV per atom; distance to the lowest polymorph of the same formula = 2.60 eV per formula unit; crystal system = tetragonal
1.0
-2.928 2.928 5.404
2.928 -2.928 5.404
2.928 2.928 -5.404
Ge Mo Se
2 4 2
Cartesian
0.000 0.000 0.000 Ge
0.000 2.928 2.702 Ge
1.464 -1.445 4.053 Mo
1.483 1.464 1.351 Mo
1.464 4.374 -1.351 Mo
1.445 1.464 6.756 Mo
2.928 0.000 2.702 Se
0.000 0.000 5.404 Se

GeMo3Se, optimized geometry, DFT PBE-GGA; formation energy from raw total energies = 1.179 eV per atom; distance to the lowest polymorph of the same formula = 0.00 eV per formula unit; crystal system = cubic
1.0
4.605 0.000 0.000
0.000 4.605 0.000
0.000 0.000 4.605
Ge Mo Se
1 3 1
Cartesian
0.000 0.000 0.000 Ge
0.000 2.302 2.302 Mo
2.302 0.000 2.302 Mo
2.302 2.302 0.000 Mo
2.302 2.302 2.302 Se

GeMoSe, optimized geometry, DFT PBE-GGA; formation energy from raw total energies = -0.116 eV per atom; crystal system = monoclinic
1.0
6.531 -1.596 0.000
6.531 1.596 0.000
-1.972 0.000 5.354
Ge Mo Se
2 2 2
Cartesian
0.352 0.000 2.524 Ge
10.739 0.000 2.830 Ge
2.759 0.000 1.252 Mo
8.332 0.000 4.102 Mo
5.025 0.000 0.204 Se
6.066 0.000 5.150 Se

Ge2MoSe8, optimized geometry, DFT PBE-GGA; formation energy from raw total energies = -0.135 eV per atom; crystal system = monoclinic
1.0
5.089 -5.346 0.000
5.089 5.346 0.000
-0.236 0.000 5.747
Ge Mo Se
2 1 8
Cartesian
2.136 0.000 2.744 Ge
7.806 0.000 3.003 Ge
0.000 0.000 0.000 Mo
4.194 3.593 3.956 Se
5.749 3.593 1.791 Se
2.204 0.000 5.144 Se
4.358 0.000 1.798 Se
5.585 0.000 3.949 Se
7.739 0.000 0.603 Se
4.194 -3.593 3.956 Se
5.749 -3.593 1.791 Se

SiGe3Mo, optimized geometry, DFT PBE-GGA; formation energy from raw total energies = 0.764 eV per atom; distance to the lowest polymorph of the same formula = 0.00 eV per formula unit; crystal system = cubic
1.0
4.894 0.000 0.000
0.000 4.894 0.000
0.000 0.000 4.894
Si Ge Mo
1 3 1
Cartesian
0.000 0.000 0.000 Si
0.000 2.447 2.447 Ge
2.447 0.000 2.447 Ge
2.447 2.447 0.000 Ge
2.447 2.447 2.447 Mo

SiGe3Mo, optimized geometry, DFT PBE-GGA; formation energy from raw total energies = 1.294 eV per atom; distance to the lowest polymorph of the same formula = 2.65 eV per formula unit; crystal system = cubic
1.0
4.656 0.000 0.000
0.000 4.656 0.000
0.000 0.000 4.656
Si Ge Mo
1 3 1
Cartesian
0.000 0.000 0.000 Si
0.000 0.000 2.328 Ge
0.000 2.328 0.000 Ge
2.328 0.000 0.000 Ge
2.328 2.328 2.328 Mo

SiGe2Mo, optimized geometry, DFT PBE-GGA; formation energy from raw total energies = 0.722 eV per atom; crystal system = tetragonal
1.0
-2.899 2.899 5.571
2.899 -2.899 5.571
2.899 2.899 -5.571
Si Ge Mo
2 4 2
Cartesian
0.000 0.000 0.000 Si
0.000 2.899 2.785 Si
4.349 1.376 -1.393 Ge
1.376 1.450 1.393 Ge
-1.450 1.523 4.178 Ge
1.523 1.450 6.963 Ge
2.899 0.000 2.785 Mo
0.000 0.000 5.571 Mo

SmGeMo, optimized geometry, DFT PBE-GGA; crystal system = tetragonal; formation energy = -1.38 eV/f.u.
1.0
3.972 0.000 0.000
0.000 3.972 0.000
0.000 0.000 7.947
Sm Ge Mo
2 2 2
Cartesian
0.993 0.993 1.162 Sm
2.979 2.979 6.786 Sm
0.993 0.993 5.793 Ge
2.979 2.979 2.154 Ge
0.993 2.979 3.974 Mo
2.979 0.993 3.974 Mo

SnGeMo, optimized geometry, DFT PBE-GGA; crystal system = monoclinic; formation energy = 0.85 eV/f.u.
1.0
7.085 -1.428 0.000
7.085 1.428 0.000
-3.133 0.000 6.165
Sn Ge Mo
2 2 2
Cartesian
0.185 0.000 2.076 Sn
10.853 0.000 4.089 Sn
0.255 0.000 4.834 Ge
10.782 0.000 1.332 Ge
5.647 0.000 0.112 Mo
5.390 0.000 6.054 Mo

SnGe2Mo, optimized geometry, DFT PBE-GGA; distance to the lowest polymorph of the same formula = 0.00 eV per formula unit; crystal system = trigonal; formation energy = 0.42 eV/f.u.
1.0
1.581 0.913 9.267
-1.581 0.913 9.267
0.000 -1.825 9.267
Sn Ge Mo
1 2 1
Cartesian
0.000 0.000 0.000 Sn
0.000 0.000 2.783 Ge
0.000 0.000 25.019 Ge
0.000 0.000 13.901 Mo

Sn3GeMo, optimized geometry, DFT PBE-GGA; distance to the lowest polymorph of the same formula = 2.84 eV per formula unit; crystal system = cubic; formation energy = 5.90 eV/f.u.
1.0
5.262 0.000 0.000
0.000 5.262 0.000
0.000 0.000 5.262
Sn Ge Mo
3 1 1
Cartesian
0.000 0.000 2.631 Sn
0.000 2.631 0.000 Sn
2.631 0.000 0.000 Sn
0.000 0.000 0.000 Ge
2.631 2.631 2.631 Mo

SnGe2Mo, optimized geometry, DFT PBE-GGA; distance to the lowest polymorph of the same formula = 2.21 eV per formula unit; crystal system = tetragonal; formation energy = 2.63 eV/f.u.
1.0
-2.995 2.995 6.075
2.995 -2.995 6.075
2.995 2.995 -6.075
Sn Ge Mo
2 4 2
Cartesian
0.000 0.000 0.000 Sn
0.000 2.995 3.037 Sn
1.497 -1.281 4.556 Ge
1.714 1.497 1.519 Ge
1.497 4.276 -1.519 Ge
1.281 1.497 7.593 Ge
2.995 0.000 3.037 Mo
0.000 0.000 6.075 Mo

Sn2GeMo2, optimized geometry, DFT PBE-GGA; crystal system = tetragonal; formation energy = 1.05 eV/f.u.
1.0
6.792 0.000 0.000
0.000 6.792 0.000
0.000 0.000 4.158
Sn Ge Mo
4 2 4
Cartesian
1.072 2.324 0.000 Sn
2.324 5.720 0.000 Sn
4.468 1.072 0.000 Sn
5.720 4.468 0.000 Sn
0.000 0.000 2.079 Ge
3.396 3.396 2.079 Ge
0.996 4.391 2.079 Mo
2.400 0.996 2.079 Mo
4.391 5.796 2.079 Mo
5.796 2.400 2.079 Mo

Sn3GeMo, optimized geometry, DFT PBE-GGA; distance to the lowest polymorph of the same formula = 0.00 eV per formula unit; crystal system = cubic; formation energy = 3.06 eV/f.u.
1.0
5.263 0.000 0.000
0.000 5.263 0.000
0.000 0.000 5.263
Sn Ge Mo
3 1 1
Cartesian
0.000 0.000 2.632 Sn
0.000 2.632 0.000 Sn
2.632 0.000 0.000 Sn
2.632 2.632 2.632 Ge
0.000 0.000 0.000 Mo

SnGe2Mo, optimized geometry, DFT PBE-GGA; distance to the lowest polymorph of the same formula = 1.90 eV per formula unit; crystal system = cubic; formation energy = 2.32 eV/f.u.
1.0
0.000 3.339 3.339
3.339 0.000 3.339
3.339 3.339 0.000
Sn Ge Mo
1 2 1
Cartesian
0.000 0.000 0.000 Sn
1.669 1.669 1.669 Ge
5.008 5.008 5.008 Ge
3.339 3.339 3.339 Mo

V2SnGeMo, optimized geometry, DFT PBE-GGA; crystal system = tetragonal; formation energy = 4.86 eV/f.u.
1.0
4.646 0.000 0.000
0.000 4.646 0.000
0.000 0.000 4.824
V Sn Ge Mo
2 1 1 1
Cartesian
0.000 2.323 0.000 V
2.323 0.000 0.000 V
0.000 0.000 2.412 Sn
2.323 2.323 2.412 Ge
2.323 2.323 0.000 Mo

SrGe2Mo, optimized geometry, DFT PBE-GGA; distance to the lowest polymorph of the same formula = 0.72 eV per formula unit; crystal system = cubic; formation energy = 1.01 eV/f.u.
1.0
0.000 3.448 3.448
3.448 0.000 3.448
3.448 3.448 0.000
Sr Ge Mo
1 2 1
Cartesian
0.000 0.000 0.000 Sr
1.724 1.724 1.724 Ge
5.171 5.171 5.171 Ge
3.448 3.448 3.448 Mo

SrGe2Mo, optimized geometry, DFT PBE-GGA; distance to the lowest polymorph of the same formula = 0.00 eV per formula unit; crystal system = tetragonal; formation energy = 0.29 eV/f.u.
1.0
-2.689 2.689 8.089
2.689 -2.689 8.089
2.689 2.689 -8.089
Sr Ge Mo
2 4 2
Cartesian
2.689 1.344 2.022 Sr
0.000 1.344 6.067 Sr
0.000 0.000 0.000 Ge
1.344 1.344 -4.045 Ge
1.344 -1.344 4.045 Ge
0.000 2.689 0.000 Ge
2.689 -1.344 6.067 Mo
0.000 4.033 2.022 Mo

SrGe2Mo2, optimized geometry, DFT PBE-GGA; crystal system = tetragonal; formation energy = 0.07 eV/f.u.
1.0
-2.410 2.410 4.553
2.410 -2.410 4.553
2.410 2.410 -4.553
Sr Ge Mo
1 2 2
Cartesian
0.000 0.000 0.000 Sr
2.410 0.000 2.276 Ge
0.000 2.410 2.276 Ge
0.000 0.000 3.431 Mo
0.000 0.000 5.675 Mo

Sr3GeMo, optimized geometry, DFT PBE-GGA; distance to the lowest polymorph of the same formula = 0.00 eV per formula unit; crystal system = cubic; formation energy = 3.27 eV/f.u.
1.0
6.057 0.000 0.000
0.000 6.057 0.000
0.000 0.000 6.057
Sr Ge Mo
3 1 1
Cartesian
0.000 0.000 3.028 Sr
0.000 3.028 0.000 Sr
3.028 0.000 0.000 Sr
0.000 0.000 0.000 Ge
3.028 3.028 3.028 Mo

SrGeMo2, optimized geometry, DFT PBE-GGA; crystal system = tetragonal; formation energy = 2.65 eV/f.u.
1.0
-2.357 2.357 9.359
2.357 -2.357 9.359
2.357 2.357 -9.359
Sr Ge Mo
2 2 4
Cartesian
0.000 0.000 0.000 Sr
0.000 2.357 4.680 Sr
2.357 0.000 4.680 Ge
0.000 0.000 9.359 Ge
1.179 2.204 -2.340 Mo
2.511 1.179 2.340 Mo
1.179 0.154 7.020 Mo
-0.154 1.179 11.699 Mo

Sr2Ge2Mo, optimized geometry, DFT PBE-GGA; crystal system = tetragonal; formation energy = -0.24 eV/f.u.
1.0
7.178 0.000 0.000
0.000 7.178 0.000
0.000 0.000 4.926
Sr Ge Mo
4 4 2
Cartesian
1.273 2.316 0.000 Sr
2.316 5.905 0.000 Sr
4.862 1.273 0.000 Sr
5.905 4.862 0.000 Sr
0.939 4.528 2.463 Ge
2.650 0.939 2.463 Ge
4.528 6.239 2.463 Ge
6.239 2.650 2.463 Ge
0.000 0.000 2.463 Mo
3.589 3.589 2.463 Mo

TaGe2Mo2, optimized geometry, DFT PBE-GGA; crystal system = tetragonal; formation energy = -0.29 eV/f.u.
1.0
7.006 0.000 0.000
0.000 7.006 0.000
0.000 0.000 3.251
Ta Ge Mo
2 4 4
Cartesian
0.000 0.000 0.000 Ta
3.503 3.503 0.000 Ta
1.000 2.503 0.000 Ge
2.503 6.006 0.000 Ge
4.503 1.000 0.000 Ge
6.006 4.503 0.000 Ge
1.071 4.574 1.626 Mo
2.432 1.071 1.626 Mo
4.574 5.935 1.626 Mo
5.935 2.432 1.626 Mo

TaGe2Mo, optimized geometry, DFT PBE-GGA; distance to the lowest polymorph of the same formula = 1.06 eV per formula unit; crystal system = trigonal; formation energy = 1.27 eV/f.u.
1.0
1.447 0.835 9.757
-1.447 0.835 9.757
0.000 -1.671 9.757
Ta Ge Mo
1 2 1
Cartesian
0.000 0.000 0.000 Ta
0.000 0.000 12.014 Ge
0.000 0.000 17.257 Ge
0.000 0.000 14.635 Mo

TaGe2Mo, optimized geometry, DFT PBE-GGA; distance to the lowest polymorph of the same formula = 0.97 eV per formula unit; crystal system = tetragonal; formation energy = 1.18 eV/f.u.
1.0
-1.939 1.939 9.425
1.939 -1.939 9.425
1.939 1.939 -9.425
Ta Ge Mo
2 4 2
Cartesian
0.000 0.000 0.000 Ta
0.000 1.939 4.712 Ta
2.908 0.967 -2.356 Ge
0.967 0.969 2.356 Ge
-0.969 0.971 7.068 Ge
0.971 0.969 11.781 Ge
1.939 0.000 4.712 Mo
0.000 0.000 9.425 Mo

| no. | electronic total energy (eV per atom) | density of states at the Fermi level (states/eV per cell) |
| --- | --- | --- |
| 1 | -6.82 | 3.5 |
| 2 | -6.66 | 7.6 |
| 3 | -6.94 | 4.7 |
| 4 | -6.43 | 2.2 |
| 5 | -4.49 | 4.7 |
| 6 | -5.26 | 4.7 |
| 7 | -4.73 | 7.9 |
| 8 | -5.65 | 4.9 |
| 9 | -7.18 | 4.8 |
| 10 | -6.20 | 4.0 |
| 11 | -5.91 | 2.1 |
| 12 | -4.31 | 3.1 |
| 13 | -5.36 | 6.7 |
| 14 | -6.65 | 8.3 |
| 15 | -4.88 | 8.3 |
| 16 | -5.44 | 3.8 |
| 17 | -6.57 | 6.5 |
| 18 | -5.18 | 1.7 |
| 19 | -5.36 | 5.5 |
| 20 | -6.50 | 2.0 |
| 21 | -3.44 | 3.8 |
| 22 | -6.33 | 8.2 |
| 23 | -4.73 | 4.6 |
| 24 | -8.61 | 7.0 |
| 25 | -7.66 | 2.7 |
| 26 | -7.69 | 6.8 |